No. 1
Ni2PbCl (PBE, optimized geometry); formation energy from raw total energies = 0.09 eV/atom; offset from the most stable computed form = 44 meV/atom
1.0
9.120 0.000 0.000
0.000 3.240 0.000
-4.255 0.000 5.464
Ni Pb Cl
4 2 2
Cartesian
-0.080 0.000 1.841
0.385 1.620 3.622
4.480 1.620 1.841
4.945 0.000 3.622
-2.127 1.620 2.732
2.432 0.000 2.732
0.000 1.620 0.000
4.560 0.000 0.000

No. 2
ScFe2Co2 (PBE, optimized geometry); energy relative to the elements = 0.13 eV per formula unit; offset from the most stable computed form = 36 meV/atom
1.0
3.833 0.000 0.000
0.000 3.833 0.000
0.000 0.000 9.403
Sc Fe Co
2 4 4
Cartesian
0.000 0.000 0.000
1.916 1.916 4.701
0.000 0.000 3.601
0.000 0.000 5.802
1.916 1.916 1.100
1.916 1.916 8.303
0.000 1.916 2.351
0.000 1.916 7.052
1.916 0.000 2.351
1.916 0.000 7.052